# CaLaY2

A crystal of CaLaY2 relaxed with PBEsol (meta-GGA SCAN, the Alexandria database).

Cell: 3.6384 3.6384 10.1932 Å, 90.00 90.00 90.00°
Space group P4/mmm (No. 123)
One atom of each set of equivalent atoms:
1 Ca 0.0000 0.0000 0.0000 x1
2 La 0.0000 0.0000 0.5000 x1
3 Y 0.5000 0.5000 0.2660 x2

Results
ρ	4.391	Mg/m³
E_form	2.146	kcal/mol of atoms